# HgIr, relaxed, DFT GGA-PBE
# Energy, eV/cell: -15.59
# DFT formation energy, eV per atom: 0.685
# Size of the total moment, μB/f.u.: 0.00
data_HgIr
_chemical_formula_sum 'Hg2 Ir2'
_cell_length_a 3.580
_cell_length_b 3.580
_cell_length_c 6.651
_cell_angle_alpha 90.00
_cell_angle_beta 90.00
_cell_angle_gamma 90.00
_space_group_name_H-M_alt 'P 4/n m m'
_space_group_IT_number 129
loop_
_space_group_symop_operation_xyz
'x,y,z'
'-x,-y,-z'
'-y+1/2,x,z'
'y+1/2,-x,-z'
'-x+1/2,-y+1/2,z'
'x+1/2,y+1/2,-z'
'y,-x+1/2,z'
'-y,x+1/2,-z'
'x+1/2,-y,-z'
'-x+1/2,y,z'
'-y,-x,-z'
'y,x,z'
'-x,y+1/2,-z'
'x,-y+1/2,z'
'y+1/2,x+1/2,-z'
'-y+1/2,-x+1/2,z'
loop_
_atom_site_label
_atom_site_type_symbol
_atom_site_fract_x
_atom_site_fract_y
_atom_site_fract_z
Hg1 Hg 0.250 0.250 0.141
Ir1 Ir 0.250 0.750 0.500

# HgIr2, relaxed, DFT GGA-PBE
# Energy, eV/cell: -65.28
# DFT formation energy, eV per atom: 0.568
# Size of the total moment, μB/f.u.: 0.00
data_HgIr2
_chemical_formula_sum 'Hg4 Ir8'
_cell_length_a 3.948
_cell_length_b 12.286
_cell_length_c 4.089
_cell_angle_alpha 90.00
_cell_angle_beta 90.00
_cell_angle_gamma 90.00
_space_group_name_H-M_alt 'C m c m'
_space_group_IT_number 63
_space_group_name_Hall '-C 2c 2'
loop_
_atom_site_label
_atom_site_type_symbol
_atom_site_fract_x
_atom_site_fract_y
_atom_site_fract_z
Hg1 Hg 0.000 0.082 0.250
Ir1 Ir 0.000 0.248 0.750
Ir2 Ir 0.000 0.404 0.250

# HgIr8, relaxed, DFT GGA-PBE
# Energy, eV/cell: -138.07
# DFT formation energy, eV per atom: 0.240
# Size of the total moment, μB/f.u.: 0.00
data_HgIr8
_chemical_formula_sum 'Hg2 Ir16'
_cell_length_a 8.351
_cell_length_b 8.351
_cell_length_c 3.924
_cell_angle_alpha 90.00
_cell_angle_beta 90.00
_cell_angle_gamma 90.00
_space_group_name_H-M_alt 'I 4/m m m'
_space_group_IT_number 139
_space_group_name_Hall '-I 4 2'
loop_
_atom_site_label
_atom_site_type_symbol
_atom_site_fract_x
_atom_site_fract_y
_atom_site_fract_z
Hg1 Hg 0.000 0.000 0.000
Ir1 Ir 0.000 0.338 0.000
Ir2 Ir 0.176 0.176 0.500

# HgIr2, relaxed, DFT GGA-PBE
# Energy, eV/cell: -67.68
# DFT formation energy, eV per atom: 0.368
# Size of the total moment, μB/f.u.: 0.00
data_HgIr2
_chemical_formula_sum 'Hg4 Ir8'
_cell_length_a 13.419
_cell_length_b 2.765
_cell_length_c 6.593
_cell_angle_alpha 90.00
_cell_angle_beta 114.55
_cell_angle_gamma 90.00
_space_group_name_H-M_alt 'C 1 2/m 1'
_space_group_IT_number 12
loop_
_space_group_symop_operation_xyz
'x,y,z'
'-x,-y,-z'
'-x,y,-z'
'x,-y,z'
'x+1/2,y+1/2,z'
'-x+1/2,-y+1/2,-z'
'-x+1/2,y+1/2,-z'
'x+1/2,-y+1/2,z'
loop_
_atom_site_label
_atom_site_type_symbol
_atom_site_fract_x
_atom_site_fract_y
_atom_site_fract_z
Hg1 Hg 0.041 0.000 0.282
Ir1 Ir 0.161 0.500 0.888
Ir2 Ir 0.242 0.500 0.326